MgZrNi2 | PBE | relaxed

Values from the calculation:
Its crystal system is cubic. The magnetic moment comes out at 0.00 Bohr magnetons per cell. The space group is No. 225. The value obtained for the volume is 15.33 Å³/atom. The density of states at the Fermi level comes out at 2.60 states/eV per cell. The calculation puts the formation enthalpy at 0 K at -0.3399 eV per atom. Its uncorrected energy is -5.77 eV/atom.

a = 4.426 Å, b = 4.426 Å, c = 4.427 Å
α = 60.01°, β = 60.01°, γ = 60.00°
Sites, in units of the cell vectors:
Ni 0.000 0.000 0.000
Ni 0.500 0.500 0.500
Mg 0.250 0.250 0.250
Zr 0.750 0.750 0.750

MgZr2Ni | PBE | relaxed

Values from the calculation:
As for the energy above the lowest structure with this stoichiometry: 108.0 kJ/mol of formula units. Its crystal system is tetragonal. The magnetic moment comes out at 0.00 Bohr magnetons per cell. The space group is No. 122. The value obtained for the volume is 20.52 Å³/atom. The density of states at the Fermi level comes out at 6.99 states/eV per cell. The calculation puts the formation enthalpy at 0 K at 0.1080 eV per atom. Its uncorrected energy is -6.01 eV/atom.

a = 7.637 Å, b = 7.637 Å, c = 6.089 Å
α = 51.17°, β = 51.17°, γ = 90.00°
Sites, in units of the cell vectors:
Ni 0.000 0.000 0.000
Ni 0.750 0.250 0.500
Mg 0.500 0.500 0.000
Mg 0.250 0.750 0.500
Zr 0.682 0.125 0.250
Zr 0.068 0.625 0.250
Zr 0.375 0.318 0.750
Zr 0.875 0.932 0.750

Mg2ZrNi | PBE | relaxed

Values from the calculation:
Its crystal system is tetragonal. The magnetic moment comes out at 0.01 Bohr magnetons per cell. The space group is No. 123. The value obtained for the volume is 18.22 Å³/atom. The density of states at the Fermi level comes out at 4.86 states/eV per cell. The calculation puts the formation enthalpy at 0 K at -0.0175 eV per atom. Its uncorrected energy is -4.40 eV/atom.

a = 3.003 Å, b = 3.003 Å, c = 8.083 Å
α = 90.00°, β = 90.00°, γ = 90.00°
Sites, in units of the cell vectors:
Mg 0.000 0.000 0.053
Mg 0.000 0.000 0.447
Ni 0.500 0.500 0.250
Zr 0.500 0.500 0.750

Mg2ZrNi | PBE | relaxed

Values from the calculation:
Its crystal system is monoclinic. The magnetic moment comes out at 0.00 Bohr magnetons per cell. The space group is No. 12. The value obtained for the volume is 18.71 Å³/atom. The density of states at the Fermi level comes out at 4.08 states/eV per cell. The calculation puts the formation enthalpy at 0 K at 0.1282 eV per atom. Its uncorrected energy is -4.25 eV/atom.

a = 5.115 Å, b = 5.836 Å, c = 2.873 Å
α = 78.43°, β = 84.04°, γ = 114.37°
Sites, in units of the cell vectors:
Mg 0.000 0.000 0.000
Mg 0.500 0.000 0.500
Ni 0.000 0.500 0.500
Zr 0.500 0.500 0.000

Mg2ZrNi | PBE | relaxed

Values from the calculation:
Its crystal system is orthorhombic. The magnetic moment comes out at 0.00 Bohr magnetons per cell. The space group is No. 44. The value obtained for the volume is 19.00 Å³/atom. The density of states at the Fermi level comes out at 1.94 states/eV per cell. The calculation puts the formation enthalpy at 0 K at -0.0183 eV per atom. Its uncorrected energy is -4.40 eV/atom.

a = 5.467 Å, b = 5.467 Å, c = 5.467 Å
α = 143.96°, β = 126.72°, γ = 66.01°
Sites, in units of the cell vectors:
Mg 0.999 0.999 0.000
Mg 0.716 0.216 0.500
Ni 0.496 0.496 0.000
Zr 0.289 0.789 0.500

MgZrNi | PBE | relaxed

Values from the calculation:
Its crystal system is cubic. The magnetic moment comes out at 0.00 Bohr magnetons per cell. The space group is No. 216. The value obtained for the volume is 21.11 Å³/atom. The density of states at the Fermi level comes out at 4.39 states/eV per cell. The calculation puts the formation enthalpy at 0 K at 0.6374 eV per atom. Its uncorrected energy is -4.67 eV/atom.

a = 4.474 Å, b = 4.474 Å, c = 4.474 Å
α = 60.00°, β = 60.00°, γ = 60.00°
Sites, in units of the cell vectors:
Mg 0.000 0.000 0.000
Ni 0.500 0.500 0.500
Zr 0.750 0.750 0.750

MgZr2Ni | PBE | relaxed

Values from the calculation:
As for the energy above the lowest structure with this stoichiometry: 41.0 kJ/mol of formula units. Its crystal system is monoclinic. The magnetic moment comes out at 0.00 Bohr magnetons per cell. The space group is No. 8. The value obtained for the volume is 19.36 Å³/atom. The density of states at the Fermi level comes out at 4.86 states/eV per cell. The calculation puts the formation enthalpy at 0 K at -0.0655 eV per atom. Its uncorrected energy is -6.18 eV/atom.

a = 5.734 Å, b = 5.734 Å, c = 4.963 Å
α = 62.88°, β = 62.88°, γ = 32.62°
Sites, in units of the cell vectors:
Mg 0.539 0.539 0.491
Ni 0.252 0.252 0.183
Zr 0.964 0.964 0.068
Zr 0.745 0.745 0.758

Mg2ZrNi | PBE | relaxed

Values from the calculation:
Its crystal system is tetragonal. The magnetic moment comes out at 0.00 Bohr magnetons per cell. The space group is No. 99. The value obtained for the volume is 19.22 Å³/atom. The density of states at the Fermi level comes out at 3.92 states/eV per cell. The calculation puts the formation enthalpy at 0 K at -0.1439 eV per atom. Its uncorrected energy is -4.52 eV/atom.

a = 3.097 Å, b = 3.097 Å, c = 8.014 Å
α = 90.00°, β = 90.00°, γ = 90.00°
Sites, in units of the cell vectors:
Mg 0.000 0.000 0.002
Mg 0.500 0.500 0.299
Ni 0.000 0.000 0.501
Zr 0.500 0.500 0.697